DFT (PBE) results for a geometry-optimized Ac2Sm5Y12 structure.

It has space group C2/m (No. 12), with a = 12.362 Å, b = 7.291 Å, c = 15.095 Å, α = 90.00°, β = 106.48° and γ = 90.00°. Symmetry generates all atoms from Ac at (0.000, 0.250, 0.000), Sm at (0.000, 0.000, 0.500), Sm at (0.095, 0.500, 0.592), Sm at (0.250, 0.000, 0.000), Y at (0.089, 0.245, 0.784), Y at (0.153, 0.500, 0.195), Y at (0.159, 0.000, 0.201) and Y at (0.172, 0.262, 0.392).

The total energy is -5.63 eV/atom. As for the formation energy: 0.127 eV per atom.